# 1
Here is Mg2InRe after structural relaxation from Alexandria. Energies are from PBE-GGA.

Cell and atoms, written as CIF:
```
data_Mg2InRe
_symmetry_space_group_name_H-M 'P 1'
_symmetry_Int_Tables_number 1
_cell_length_a 2.869
_cell_length_b 4.396
_cell_length_c 5.876
_cell_angle_alpha 90.00
_cell_angle_beta 90.00
_cell_angle_gamma 90.00
loop_
_symmetry_equiv_pos_as_xyz
'x,y,z'
loop_
_atom_site_label
_atom_site_fract_x
_atom_site_fract_y
_atom_site_fract_z
In1 0.500 0.500 0.750
Mg1 0.000 0.000 0.025
Mg2 0.000 0.000 0.475
Re1 0.500 0.500 0.250
```

## Properties
* D(E_F): 0.502 states/eV per atom
* energy relative to the elements: 307.4 meV per atom



# 2
Here is MgIn2Re after structural relaxation from Alexandria. Energies are from PBE-GGA.

Cell and atoms, written as CIF:
```
data_MgIn2Re
_symmetry_space_group_name_H-M 'P 1'
_symmetry_Int_Tables_number 1
_cell_length_a 5.469
_cell_length_b 5.469
_cell_length_c 5.469
_cell_angle_alpha 140.89
_cell_angle_beta 131.97
_cell_angle_gamma 63.60
loop_
_symmetry_equiv_pos_as_xyz
'x,y,z'
loop_
_atom_site_label
_atom_site_fract_x
_atom_site_fract_y
_atom_site_fract_z
In1 0.010 0.010 0.000
In2 0.750 0.250 0.500
Mg1 0.489 0.489 0.000
Re1 0.251 0.751 0.500
```

## Properties
* D(E_F): 0.407 states/eV per atom
* energy relative to the elements: 339.6 meV per atom



# 3
Here is Mg2InRe after structural relaxation from Alexandria. Energies are from PBE-GGA.

Cell and atoms, written as CIF:
```
data_Mg2InRe
_symmetry_space_group_name_H-M 'P 1'
_symmetry_Int_Tables_number 1
_cell_length_a 2.881
_cell_length_b 4.411
_cell_length_c 5.821
_cell_angle_alpha 90.00
_cell_angle_beta 90.00
_cell_angle_gamma 90.00
loop_
_symmetry_equiv_pos_as_xyz
'x,y,z'
loop_
_atom_site_label
_atom_site_fract_x
_atom_site_fract_y
_atom_site_fract_z
In1 0.500 0.500 0.737
Mg1 0.000 0.000 0.006
Mg2 0.500 0.500 0.266
Re1 0.000 0.000 0.491
```

## Properties
* D(E_F): 0.496 states/eV per atom
* energy relative to the elements: 314.3 meV per atom



# 4
Here is MgIn2Re after structural relaxation from Alexandria. Energies are from PBE-GGA.

Cell and atoms, written as CIF:
```
data_MgIn2Re
_symmetry_space_group_name_H-M 'P 1'
_symmetry_Int_Tables_number 1
_cell_length_a 5.200
_cell_length_b 5.200
_cell_length_c 5.200
_cell_angle_alpha 132.32
_cell_angle_beta 132.32
_cell_angle_gamma 69.72
loop_
_symmetry_equiv_pos_as_xyz
'x,y,z'
loop_
_atom_site_label
_atom_site_fract_x
_atom_site_fract_y
_atom_site_fract_z
In1 0.000 0.000 0.000
In2 0.500 0.500 0.000
Mg1 0.750 0.250 0.500
Re1 0.250 0.750 0.500
```

## Properties
* D(E_F): 0.370 states/eV per atom
* energy relative to the elements: 330.1 meV per atom



# 5
Here is MgInRe3 after structural relaxation from Alexandria. Energies are from PBE-GGA.

Cell and atoms, written as CIF:
```
data_MgInRe3
_symmetry_space_group_name_H-M 'P 1'
_symmetry_Int_Tables_number 1
_cell_length_a 4.548
_cell_length_b 4.548
_cell_length_c 4.548
_cell_angle_alpha 90.00
_cell_angle_beta 90.00
_cell_angle_gamma 90.00
loop_
_symmetry_equiv_pos_as_xyz
'x,y,z'
loop_
_atom_site_label
_atom_site_fract_x
_atom_site_fract_y
_atom_site_fract_z
Re1 0.000 0.500 0.000
Re2 0.000 0.000 0.500
Re3 0.500 0.000 0.000
Mg1 0.000 0.000 0.000
In1 0.500 0.500 0.500
```

## Properties
* D(E_F): 1.430 states/eV per atom
* energy relative to the elements: 2335.0 meV per atom
* energy above the most stable polymorph in this dataset: 0.00 eV per formula unit



# 6
Here is MgTaIn2Re after structural relaxation from Alexandria. Energies are from PBE-GGA.

Cell and atoms, written as CIF:
```
data_MgTaIn2Re
_symmetry_space_group_name_H-M 'P 1'
_symmetry_Int_Tables_number 1
_cell_length_a 5.226
_cell_length_b 4.904
_cell_length_c 5.226
_cell_angle_alpha 90.00
_cell_angle_beta 90.00
_cell_angle_gamma 90.00
loop_
_symmetry_equiv_pos_as_xyz
'x,y,z'
loop_
_atom_site_label
_atom_site_fract_x
_atom_site_fract_y
_atom_site_fract_z
Re1 0.000 0.000 0.000
Mg1 0.500 0.500 0.500
In1 0.000 0.000 0.500
In2 0.500 0.000 0.000
Ta1 0.000 0.500 0.000
```

## Properties
* D(E_F): 0.855 states/eV per atom
* energy relative to the elements: 821.1 meV per atom



# 7
Here is MgTi2InRe after structural relaxation from Alexandria. Energies are from PBE-GGA.

Cell and atoms, written as CIF:
```
data_MgTi2InRe
_symmetry_space_group_name_H-M 'P 1'
_symmetry_Int_Tables_number 1
_cell_length_a 4.684
_cell_length_b 4.609
_cell_length_c 4.684
_cell_angle_alpha 90.00
_cell_angle_beta 90.00
_cell_angle_gamma 90.00
loop_
_symmetry_equiv_pos_as_xyz
'x,y,z'
loop_
_atom_site_label
_atom_site_fract_x
_atom_site_fract_y
_atom_site_fract_z
Re1 0.000 0.500 0.000
Mg1 0.000 0.000 0.000
Ti1 0.000 0.000 0.500
Ti2 0.500 0.000 0.000
In1 0.500 0.500 0.500
```

## Properties
* D(E_F): 0.950 states/eV per atom
* energy relative to the elements: 1343.8 meV per atom



# 8
Here is MgZnInRe2 after structural relaxation from Alexandria. Energies are from PBE-GGA.

Cell and atoms, written as CIF:
```
data_MgZnInRe2
_symmetry_space_group_name_H-M 'P 1'
_symmetry_Int_Tables_number 1
_cell_length_a 4.979
_cell_length_b 4.884
_cell_length_c 4.979
_cell_angle_alpha 90.00
_cell_angle_beta 90.00
_cell_angle_gamma 90.00
loop_
_symmetry_equiv_pos_as_xyz
'x,y,z'
loop_
_atom_site_label
_atom_site_fract_x
_atom_site_fract_y
_atom_site_fract_z
Re1 0.000 0.000 0.500
Re2 0.500 0.000 0.000
Zn1 0.500 0.500 0.500
Mg1 0.000 0.500 0.000
In1 0.000 0.000 0.000
```

## Properties
* D(E_F): 1.201 states/eV per atom
* energy relative to the elements: 2198.8 meV per atom